# PuMnIO6 PBE with a Hubbard U optimized geometry
data_PuMnIO6
_symmetry_space_group_name_H-M 'P -3 1 c'
_symmetry_Int_Tables_number 163
_symmetry_space_group_name_Hall '-P 3 2c'
_cell_length_a 5.6151
_cell_length_b 5.6151
_cell_length_c 9.1785
_cell_angle_alpha 90.00
_cell_angle_beta 90.00
_cell_angle_gamma 120.00
loop_
_atom_site_label
_atom_site_type_symbol
_atom_site_fract_x
_atom_site_fract_y
_atom_site_fract_z
Pu1 Pu 0.3333 0.6667 0.2500
Mn1 Mn 0.0000 0.0000 0.0000
I1 I 0.3333 0.6667 0.7500
O1 O 0.0061 0.3477 0.6317
# Energy   -7.332 eV per atom
# Magnetization   8.00 μB per formula unit
# DOS(E_F)   16.8 states/eV/cell